TbGa4Ni2Rh: relaxed, PBE-GGA.

POSCAR file:
```
TbGa4Ni2Rh
1.0
2.060 1.189 8.759
-2.060 1.189 8.759
0.000 -2.379 8.759
Tb Ga Ni Rh
1 4 2 1
Cartesian
0.000 0.000 0.000
0.000 0.000 3.381
0.000 0.000 10.537
0.000 0.000 15.739
0.000 0.000 22.895
0.000 0.000 6.087
0.000 0.000 20.188
0.000 0.000 13.138
```

Summary:
- Energy: -4.9846 eV per atom
- DOS at the Fermi energy: 0.616 states/eV per atom
- Total magnetic moment: 0.00 μB/cell